A plane-wave DFT calculation with GGA-PBEsol was carried out for a relaxed structure of CdGaN2.

Magnetization ... 0.00 Bohr magnetons per cell
DOS(E_F) ... 0.48 states/eV/atom
Electronic total energy ... -4.6816 eV per atom
Crystal system ... trigonal
ρ ... 5.77 g/cm3

Cell and atoms, written as CIF:
```
data_CdGaN2
_chemical_formula_sum 'Cd3 Ga3 N6'
_space_group_name_H-M_alt 'R -3 m'
_space_group_IT_number 166
_space_group_name_Hall '-R 3 2"'
_cell_length_a 3.4762
_cell_length_b 3.4762
_cell_length_c 17.3400
_cell_angle_alpha 90.00
_cell_angle_beta 90.00
_cell_angle_gamma 120.00
loop_
_atom_site_label
_atom_site_type_symbol
_atom_site_fract_x
_atom_site_fract_y
_atom_site_fract_z
Cd1 Cd 0.0000 0.0000 0.0000
Ga1 Ga 0.0000 0.0000 0.5000
N1 N 0.0000 0.0000 0.3986
```